Record 1
TeIr5 after structural relaxation, computed with GGA-PBE.

Structure (POSCAR):
```
TeIr5
1.0
4.5001 0.0000 0.0000
0.0000 2.8720 0.0000
0.0000 0.0000 14.7088
Te Ir
2 10
Direct
0.0000 0.0000 0.0000 Te
0.0000 0.5000 0.5000 Te
0.0000 0.0000 0.3226 Ir
0.0000 0.0000 0.6666 Ir
0.0000 0.5000 0.1666 Ir
0.0000 0.5000 0.8226 Ir
0.5000 0.0000 0.1176 Ir
0.5000 0.0000 0.4371 Ir
0.5000 0.0000 0.7780 Ir
0.5000 0.5000 0.2780 Ir
0.5000 0.5000 0.6176 Ir
0.5000 0.5000 0.9371 Ir
```

Properties
- Uncorrected formation energy: 0.37 eV/atom
- Offset from the most stable computed form: 6.1 kJ per mole of atoms
- N(E_F): 12.89 states/eV/cell
- Total DFT energy (no corrections): -7.535 eV/atom
- Crystal system: orthorhombic
- M_tot: 0.0 μB/cell

***

Record 2
Te3Ir2 after structural relaxation, computed with GGA-PBE.

Structure (POSCAR):
```
Te3Ir2
1.0
4.4549 0.0000 0.0000
-2.2274 3.8580 0.0000
0.0000 0.0000 6.7182
Te Ir
3 2
Direct
0.0000 0.0000 0.0000 Te
0.3333 0.6667 0.3439 Te
0.6667 0.3333 0.6561 Te
0.3333 0.6667 0.7512 Ir
0.6667 0.3333 0.2488 Ir
```

Properties
- Uncorrected formation energy: 0.17 eV/atom
- N(E_F): 4.92 states/eV/cell
- Total DFT energy (no corrections): -5.260 eV/atom
- Crystal system: trigonal
- M_tot: 0.0 μB/cell

***

Record 3
Te2Ir after structural relaxation, computed with GGA-PBE.

Structure (POSCAR):
```
Te2Ir
1.0
4.5200 0.0000 0.0000
-2.2600 3.9145 0.0000
0.0000 0.0000 8.0637
Te Ir
4 2
Direct
0.0000 0.0000 0.0000 Te
0.0000 0.0000 0.5000 Te
0.3333 0.6667 0.2500 Te
0.6667 0.3333 0.7500 Te
0.3333 0.6667 0.7500 Ir
0.6667 0.3333 0.2500 Ir
```

Properties
- Uncorrected formation energy: 0.54 eV/atom
- N(E_F): 5.45 states/eV/cell
- Total DFT energy (no corrections): -4.508 eV/atom
- Crystal system: hexagonal
- M_tot: 0.0 μB/cell

***

Record 4
Te2Ir after structural relaxation, computed with GGA-PBE.

Structure (POSCAR):
```
Te2Ir
1.0
3.9819 0.0000 0.0000
-1.9909 3.4484 0.0000
0.0000 0.0000 5.5190
Te Ir
2 1
Direct
0.3333 0.6667 0.2513 Te
0.6667 0.3333 0.7487 Te
0.0000 0.0000 0.5000 Ir
```

Properties
- Uncorrected formation energy: -0.26 eV/atom
- N(E_F): 2.42 states/eV/cell
- Total DFT energy (no corrections): -5.311 eV/atom
- Crystal system: trigonal
- M_tot: 0.0 μB/cell

***

Record 5
TeIr3 after structural relaxation, computed with GGA-PBE.

Structure (POSCAR):
```
TeIr3
1.0
7.9186 0.0000 0.0000
0.0000 12.0472 0.0000
0.0000 0.0000 4.0460
Te Ir
4 12
Direct
0.0000 0.1442 0.2500 Te
0.0000 0.8558 0.7500 Te
0.5000 0.3558 0.7500 Te
0.5000 0.6442 0.2500 Te
0.0000 0.4468 0.7500 Ir
0.0000 0.5532 0.2500 Ir
0.1642 0.2700 0.7500 Ir
0.1642 0.7300 0.2500 Ir
0.3358 0.2300 0.2500 Ir
0.3358 0.7700 0.7500 Ir
0.5000 0.0532 0.2500 Ir
0.5000 0.9468 0.7500 Ir
0.6642 0.2300 0.2500 Ir
0.6642 0.7700 0.7500 Ir
0.8358 0.2700 0.7500 Ir
0.8358 0.7300 0.2500 Ir
```

Properties
- Uncorrected formation energy: 0.70 eV/atom
- N(E_F): 16.04 states/eV/cell
- Total DFT energy (no corrections): -6.733 eV/atom
- Crystal system: orthorhombic
- M_tot: 0.0 μB/cell

***

Record 6
TeIr4 after structural relaxation, computed with GGA-PBE.

Structure (POSCAR):
```
TeIr4
1.0
3.7272 0.0000 0.0000
0.0000 3.7272 0.0000
0.0000 0.0000 12.7408
Te Ir
2 8
Direct
0.0000 0.0000 0.0000 Te
0.5000 0.5000 0.5000 Te
0.0000 0.0000 0.3974 Ir
0.0000 0.0000 0.6026 Ir
0.0000 0.5000 0.2500 Ir
0.0000 0.5000 0.7500 Ir
0.5000 0.0000 0.2500 Ir
0.5000 0.0000 0.7500 Ir
0.5000 0.5000 0.1026 Ir
0.5000 0.5000 0.8974 Ir
```

Properties
- Uncorrected formation energy: 0.46 eV/atom
- Offset from the most stable computed form: 0.0 kJ per mole of atoms
- N(E_F): 11.97 states/eV/cell
- Total DFT energy (no corrections): -7.253 eV/atom
- Crystal system: tetragonal
- M_tot: 0.0 μB/cell

***

Record 7
TeIr3 after structural relaxation, computed with GGA-PBE.

Structure (POSCAR):
```
TeIr3
1.0
4.0184 0.0000 0.0000
0.0000 4.0184 0.0000
0.0000 0.0000 4.0184
Te Ir
1 3
Direct
0.0000 0.0000 0.0000 Te
0.0000 0.5000 0.5000 Ir
0.5000 0.0000 0.5000 Ir
0.5000 0.5000 0.0000 Ir
```

Properties
- Uncorrected formation energy: 0.39 eV/atom
- N(E_F): 1.87 states/eV/cell
- Total DFT energy (no corrections): -7.038 eV/atom
- Crystal system: cubic
- M_tot: 0.0 μB/cell

***

Record 8
Te4Ir3 after structural relaxation, computed with GGA-PBE.

Structure (POSCAR):
```
Te4Ir3
1.0
3.5141 0.0000 0.0000
0.0000 3.5141 0.0000
0.0000 0.0000 26.8169
Te Ir
8 6
Direct
0.0000 0.0000 0.0569 Te
0.0000 0.0000 0.3197 Te
0.0000 0.0000 0.6803 Te
0.0000 0.0000 0.9431 Te
0.5000 0.5000 0.1803 Te
0.5000 0.5000 0.4431 Te
0.5000 0.5000 0.5569 Te
0.5000 0.5000 0.8197 Te
0.0000 0.0000 0.2209 Ir
0.0000 0.0000 0.5000 Ir
0.0000 0.0000 0.7791 Ir
0.5000 0.5000 0.0000 Ir
0.5000 0.5000 0.2791 Ir
0.5000 0.5000 0.7209 Ir
```

Properties
- Uncorrected formation energy: 0.24 eV/atom
- N(E_F): 7.72 states/eV/cell
- Total DFT energy (no corrections): -5.351 eV/atom
- Crystal system: tetragonal
- M_tot: 0.0 μB/cell

***

Record 9
TeIr4 after structural relaxation, computed with GGA-PBE.

Structure (POSCAR):
```
TeIr4
1.0
5.8066 0.0000 0.0000
0.0000 5.8066 0.0000
0.0000 0.0000 5.8066
Te Ir
2 8
Direct
0.0000 0.0000 0.0000 Te
0.5000 0.5000 0.5000 Te
0.2500 0.2500 0.2500 Ir
0.2500 0.2500 0.7500 Ir
0.2500 0.7500 0.2500 Ir
0.2500 0.7500 0.7500 Ir
0.7500 0.2500 0.2500 Ir
0.7500 0.2500 0.7500 Ir
0.7500 0.7500 0.2500 Ir
0.7500 0.7500 0.7500 Ir
```

Properties
- Uncorrected formation energy: 1.20 eV/atom
- Offset from the most stable computed form: 71.4 kJ per mole of atoms
- N(E_F): 18.05 states/eV/cell
- Total DFT energy (no corrections): -6.513 eV/atom
- Crystal system: cubic
- M_tot: 0.0 μB/cell

***

Record 10
Th2TeIr after structural relaxation, computed with GGA-PBE.

Structure (POSCAR):
```
Th2TeIr
1.0
4.2043 0.0000 0.0000
-2.1021 3.6410 0.0000
0.0000 0.0000 23.0962
Th Te Ir
6 3 3
Direct
0.0000 0.0000 0.2340 Th
0.0000 0.0000 0.7660 Th
0.3333 0.6667 0.4327 Th
0.3333 0.6667 0.9007 Th
0.6667 0.3333 0.0993 Th
0.6667 0.3333 0.5673 Th
0.0000 0.0000 0.0000 Te
0.3333 0.6667 0.6667 Te
0.6667 0.3333 0.3333 Te
0.0000 0.0000 0.5000 Ir
0.3333 0.6667 0.1667 Ir
0.6667 0.3333 0.8333 Ir
```

Properties
- Uncorrected formation energy: -1.14 eV/atom
- Offset from the most stable computed form: 0.0 kJ per mole of atoms
- N(E_F): 7.27 states/eV/cell
- Total DFT energy (no corrections): -7.854 eV/atom
- Crystal system: trigonal
- M_tot: 0.0 μB/cell

***

Record 11
Th4TeIr2 after structural relaxation, computed with GGA-PBE.

Structure (POSCAR):
```
Th4TeIr2
1.0
2.0820 1.2020 13.9883
-2.0820 1.2020 13.9883
0.0000 -2.4041 13.9883
Th Te Ir
4 1 2
Direct
0.1295 0.1295 0.1295 Th
0.2784 0.2784 0.2784 Th
0.7216 0.7216 0.7216 Th
0.8705 0.8705 0.8705 Th
0.0000 0.0000 0.0000 Te
0.4263 0.4263 0.4263 Ir
0.5737 0.5737 0.5737 Ir
```

Properties
- Uncorrected formation energy: -0.87 eV/atom
- N(E_F): 6.28 states/eV/cell
- Total DFT energy (no corrections): -8.088 eV/atom
- Crystal system: trigonal
- M_tot: 0.0 μB/cell

***

Record 12
Th4Te3Ir after structural relaxation, computed with GGA-PBE.

Structure (POSCAR):
```
Th4Te3Ir
1.0
9.1810 0.0000 0.0000
0.0000 12.6242 0.0000
0.0000 0.0000 4.2722
Th Te Ir
8 6 2
Direct
0.0000 0.2318 0.0000 Th
0.0000 0.7682 0.0000 Th
0.2106 0.0000 0.5000 Th
0.2894 0.5000 0.5000 Th
0.5000 0.2682 0.0000 Th
0.5000 0.7318 0.0000 Th
0.7106 0.5000 0.5000 Th
0.7894 0.0000 0.5000 Th
0.0000 0.5000 0.0000 Te
0.2500 0.2500 0.5000 Te
0.2500 0.7500 0.5000 Te
0.5000 0.0000 0.0000 Te
0.7500 0.2500 0.5000 Te
0.7500 0.7500 0.5000 Te
0.0000 0.0000 0.0000 Ir
0.5000 0.5000 0.0000 Ir
```

Properties
- Uncorrected formation energy: -1.08 eV/atom
- N(E_F): 11.33 states/eV/cell
- Total DFT energy (no corrections): -7.080 eV/atom
- Crystal system: orthorhombic
- M_tot: 0.0 μB/cell

***

Record 13
Th4Te5Ir after structural relaxation, computed with GGA-PBE.

Structure (POSCAR):
```
Th4Te5Ir
1.0
9.7817 -2.1450 0.0000
9.7817 2.1450 0.0000
-2.0700 0.0000 8.4583
Th Te Ir
4 5 1
Direct
0.0006 0.0006 0.2797 Th
0.3393 0.3393 0.4033 Th
0.6607 0.6607 0.5967 Th
0.9994 0.9994 0.7203 Th
0.1660 0.1660 0.8548 Te
0.1707 0.1707 0.3309 Te
0.5000 0.5000 0.0000 Te
0.8293 0.8293 0.6691 Te
0.8340 0.8340 0.1452 Te
0.5000 0.5000 0.5000 Ir
```

Properties
- Uncorrected formation energy: -1.10 eV/atom
- N(E_F): 6.43 states/eV/cell
- Total DFT energy (no corrections): -6.529 eV/atom
- Crystal system: monoclinic
- M_tot: 0.0 μB/cell